The following is a PBE-GGA calculation of a relaxed structure of CrBi2Ir, from Alexandria.

POSCAR file:
```
CrBi2Ir
1.0
0.0000 3.4046 3.4046
3.4046 0.0000 3.4046
3.4046 3.4046 0.0000
Bi Ir Cr
2 1 1
Direct
0.2500 0.2500 0.2500 Bi
0.7500 0.7500 0.7500 Bi
0.5000 0.5000 0.5000 Ir
0.0000 0.0000 0.0000 Cr
```

Summary:
Its energy relative to the lowest polymorph listed for this composition is 0 meV/atom. The total magnetization comes out at 0.0 μB per formula unit. The density comes out at 13931 kg/m³. As for the energy of formation: 0.72 eV/atom.